Crystalline ScZnFeHg at its relaxed geometry, computed with GGA-PBE.

a b c (Å): 4.6172 4.6172 4.6172
angles (deg): 60.00 60.00 60.00
Sites, in units of the cell vectors:
Sc (0.0000, 0.0000, 0.0000)
Zn (0.2500, 0.2500, 0.2500)
Fe (0.5000, 0.5000, 0.5000)
Hg (0.7500, 0.7500, 0.7500)

Properties
**E_form**: -0.020 eV/atom
**Space group**: F-43m (216)

Crystalline LiHoTe3Pb at its relaxed geometry, computed with GGA-PBE.

a b c (Å): 9.7424 9.7424 9.2488
angles (deg): 103.20 103.20 25.78
Sites, in units of the cell vectors:
Li (0.0073, 0.0073, 0.1994)
Li (0.9927, 0.9927, 0.8006)
Ho (0.3348, 0.3348, 0.9133)
Ho (0.6652, 0.6652, 0.0867)
Te (0.0000, 0.0000, 0.5000)
Te (0.1685, 0.1685, 0.8526)
Te (0.1783, 0.1783, 0.3242)
Te (0.5000, 0.5000, 0.0000)
Te (0.8217, 0.8217, 0.6758)
Te (0.8315, 0.8315, 0.1474)
Pb (0.3664, 0.3664, 0.4354)
Pb (0.6336, 0.6336, 0.5646)

Properties
**DFT total energy**: -0.3092 Ry/atom
**Space group**: C2/m (12)

Crystalline HfPdAu at its relaxed geometry, computed with GGA-PBE.

a b c (Å): 5.0109 5.0109 5.0109
angles (deg): 139.27 138.91 59.24
Sites, in units of the cell vectors:
Hf (0.0000, 0.0000, 0.0000)
Pd (0.6576, 0.6576, 0.0000)
Au (0.3319, 0.3319, 0.0000)

Properties
**E_form**: -0.784 eV/atom
**Space group**: Imm2 (44)

Crystalline TbGdAg2Bi4 at its relaxed geometry, computed with GGA-PBE.

a b c (Å): 4.5536 4.5536 10.3140
angles (deg): 90.00 90.00 90.00
Sites, in units of the cell vectors:
Tb (0.0000, 0.0000, 0.0000)
Gd (0.5000, 0.5000, 0.5044)
Ag (0.0000, 0.5000, 0.2515)
Ag (0.5000, 0.0000, 0.2515)
Bi (0.0000, 0.0000, 0.4415)
Bi (0.0000, 0.5000, 0.7525)
Bi (0.5000, 0.0000, 0.7525)
Bi (0.5000, 0.5000, 0.0618)

Properties
**DFT total energy**: -0.3208 Ry/atom
**Space group**: P4mm (99)

Crystalline Gd at its relaxed geometry, computed with GGA-PBE.

a b c (Å): 6.3837 6.3837 6.3837
angles (deg): 90.00 90.00 90.00
Sites, in units of the cell vectors:
Gd (0.0000, 0.0000, 0.0000)
Gd (0.0000, 0.2500, 0.5000)
Gd (0.0000, 0.7500, 0.5000)
Gd (0.2500, 0.5000, 0.0000)
Gd (0.5000, 0.0000, 0.2500)
Gd (0.5000, 0.0000, 0.7500)
Gd (0.5000, 0.5000, 0.5000)
Gd (0.7500, 0.5000, 0.0000)

Properties
**E_form**: 0.261 eV/atom
**Space group**: Pm-3n (223)

Crystalline HfCuAsPd at its relaxed geometry, computed with GGA-PBE.

a b c (Å): 4.5428 4.5428 4.5428
angles (deg): 60.00 60.00 60.00
Sites, in units of the cell vectors:
Hf (0.0000, 0.0000, 0.0000)
Cu (0.7500, 0.7500, 0.7500)
As (0.5000, 0.5000, 0.5000)
Pd (0.2500, 0.2500, 0.2500)

Properties
**DFT total energy**: -0.4507 Ry/atom
**Space group**: F-43m (216)

Crystalline DyLuNO at its relaxed geometry, computed with GGA-PBE.

a b c (Å): 3.3789 3.3789 4.7252
angles (deg): 90.00 90.00 90.00
Sites, in units of the cell vectors:
Dy (0.0000, 0.0000, 0.0000)
Lu (0.5000, 0.5000, 0.5000)
N (0.5000, 0.5000, 0.0000)
O (0.0000, 0.0000, 0.5000)

Properties
**DFT total energy**: -0.5835 Ry/atom
**Space group**: P4/mmm (123)

Crystalline Cd2SiHg at its relaxed geometry, computed with GGA-PBE.

a b c (Å): 4.9583 4.9583 4.9583
angles (deg): 60.00 60.00 60.00
Sites, in units of the cell vectors:
Cd (0.0000, 0.0000, 0.0000)
Cd (0.2500, 0.2500, 0.2500)
Si (0.5000, 0.5000, 0.5000)
Hg (0.7500, 0.7500, 0.7500)

Properties
**DFT total energy**: -0.1121 Ry/atom
**Space group**: F-43m (216)

Crystalline GdBiTe at its relaxed geometry, computed with GGA-PBE.

a b c (Å): 5.2833 5.2833 5.2833
angles (deg): 60.00 60.00 60.00
Sites, in units of the cell vectors:
Gd (0.0000, 0.0000, 0.0000)
Bi (0.7500, 0.7500, 0.7500)
Te (0.2500, 0.2500, 0.2500)

Properties
**DFT total energy**: -0.3292 Ry/atom
**Space group**: F-43m (216)

Crystalline ScFeB4 at its relaxed geometry, computed with GGA-PBE.

a b c (Å): 3.0584 3.0584 6.3613
angles (deg): 90.00 90.00 120.00
Sites, in units of the cell vectors:
Sc (0.0000, 0.0000, 0.0000)
Fe (0.0000, 0.0000, 0.5000)
B (0.3333, 0.6667, 0.2731)
B (0.3333, 0.6667, 0.7269)
B (0.6667, 0.3333, 0.2731)
B (0.6667, 0.3333, 0.7269)

Properties
**DFT total energy**: -0.5436 Ry/atom
**Space group**: P6/mmm (191)

Crystalline Hf3Bi2Pd2 at its relaxed geometry, computed with GGA-PBE.

a b c (Å): 8.3040 8.3040 8.3040
angles (deg): 33.75 33.75 33.75
Sites, in units of the cell vectors:
Hf (0.0000, 0.0000, 0.0000)
Hf (0.2493, 0.2493, 0.2493)
Hf (0.5046, 0.5046, 0.5046)
Bi (0.1214, 0.1214, 0.1214)
Bi (0.6366, 0.6366, 0.6366)
Pd (0.3826, 0.3826, 0.3826)
Pd (0.8753, 0.8753, 0.8753)

Properties
**DFT total energy**: -0.5181 Ry/atom
**Space group**: R3m (160)

Crystalline ScCdFe2 at its relaxed geometry, computed with GGA-PBE.

a b c (Å): 4.4788 4.4788 4.4788
angles (deg): 60.00 60.00 60.00
Sites, in units of the cell vectors:
Sc (0.0000, 0.0000, 0.0000)
Cd (0.2500, 0.2500, 0.2500)
Fe (0.5000, 0.5000, 0.5000)
Fe (0.7500, 0.7500, 0.7500)

Properties
**E_form**: 0.154 eV/atom
**Space group**: F-43m (216)

Crystalline Tb3Re2W3N12 at its relaxed geometry, computed with GGA-PBE.

a b c (Å): 11.0271 11.0271 11.0271
angles (deg): 109.47 109.47 109.47
Sites, in units of the cell vectors:
Tb (0.1250, 0.2500, 0.3750)
Tb (0.1250, 0.3750, 0.7500)
Tb (0.2500, 0.3750, 0.1250)
Tb (0.2500, 0.8750, 0.6250)
Tb (0.3750, 0.1250, 0.2500)
Tb (0.3750, 0.7500, 0.1250)
Tb (0.6250, 0.2500, 0.8750)
Tb (0.6250, 0.8750, 0.7500)
Tb (0.7500, 0.1250, 0.3750)
Tb (0.7500, 0.6250, 0.8750)
Tb (0.8750, 0.6250, 0.2500)
Tb (0.8750, 0.7500, 0.6250)
Re (0.0000, 0.0000, 0.0000)
Re (0.0000, 0.0000, 0.5000)
Re (0.0000, 0.5000, 0.0000)
Re (0.0000, 0.5000, 0.5000)
Re (0.5000, 0.0000, 0.0000)
Re (0.5000, 0.0000, 0.5000)
Re (0.5000, 0.5000, 0.0000)
Re (0.5000, 0.5000, 0.5000)
W (0.1250, 0.7500, 0.8750)
W (0.1250, 0.8750, 0.2500)
W (0.2500, 0.1250, 0.8750)
W (0.2500, 0.6250, 0.3750)
W (0.3750, 0.2500, 0.6250)
W (0.3750, 0.6250, 0.7500)
W (0.6250, 0.3750, 0.2500)
W (0.6250, 0.7500, 0.3750)
W (0.7500, 0.3750, 0.6250)
W (0.7500, 0.8750, 0.1250)
W (0.8750, 0.1250, 0.7500)
W (0.8750, 0.2500, 0.1250)
N (0.0194, 0.1992, 0.1157)
N (0.0194, 0.3202, 0.9037)
N (0.0835, 0.6992, 0.6798)
N (0.0835, 0.8843, 0.4037)
N (0.0963, 0.6157, 0.4165)
N (0.0963, 0.9806, 0.6798)
N (0.1157, 0.0194, 0.1992)
N (0.1157, 0.5963, 0.9165)
N (0.1798, 0.1992, 0.5835)
N (0.1798, 0.4806, 0.5963)
N (0.1992, 0.1157, 0.0194)
N (0.1992, 0.5835, 0.1798)
N (0.3008, 0.3202, 0.9165)
N (0.3008, 0.4806, 0.3843)
N (0.3202, 0.9037, 0.0194)
N (0.3202, 0.9165, 0.3008)
N (0.3843, 0.3008, 0.4806)
N (0.3843, 0.5835, 0.9037)
N (0.4037, 0.0835, 0.8843)
N (0.4037, 0.8202, 0.5194)
N (0.4165, 0.0963, 0.6157)
N (0.4165, 0.8202, 0.8008)
N (0.4806, 0.3843, 0.3008)
N (0.4806, 0.5963, 0.1798)
N (0.5194, 0.4037, 0.8202)
N (0.5194, 0.6157, 0.6992)
N (0.5835, 0.1798, 0.1992)
N (0.5835, 0.9037, 0.3843)
N (0.5963, 0.1798, 0.4806)
N (0.5963, 0.9165, 0.1157)
N (0.6157, 0.4165, 0.0963)
N (0.6157, 0.6992, 0.5194)
N (0.6798, 0.0835, 0.6992)
N (0.6798, 0.0963, 0.9806)
N (0.6992, 0.5194, 0.6157)
N (0.6992, 0.6798, 0.0835)
N (0.8008, 0.4165, 0.8202)
N (0.8008, 0.8843, 0.9806)
N (0.8202, 0.5194, 0.4037)
N (0.8202, 0.8008, 0.4165)
N (0.8843, 0.4037, 0.0835)
N (0.8843, 0.9806, 0.8008)
N (0.9037, 0.0194, 0.3202)
N (0.9037, 0.3843, 0.5835)
N (0.9165, 0.1157, 0.5963)
N (0.9165, 0.3008, 0.3202)
N (0.9806, 0.6798, 0.0963)
N (0.9806, 0.8008, 0.8843)

Properties
**DFT total energy**: -0.7001 Ry/atom
**Space group**: Ia-3d (230)

Crystalline InTePbAuSe2 at its relaxed geometry, computed with GGA-PBE.

a b c (Å): 7.5848 7.5848 11.4275
angles (deg): 90.00 90.00 150.23
Sites, in units of the cell vectors:
In (0.2103, 0.7897, 0.7500)
In (0.7897, 0.2103, 0.2500)
Te (0.1156, 0.8844, 0.2500)
Te (0.8844, 0.1156, 0.7500)
Pb (0.0000, 0.0000, 0.0000)
Pb (0.0000, 0.0000, 0.5000)
Au (0.4798, 0.5202, 0.2500)
Au (0.5202, 0.4798, 0.7500)
Se (0.3466, 0.6534, 0.0821)
Se (0.3466, 0.6534, 0.4179)
Se (0.6534, 0.3466, 0.5821)
Se (0.6534, 0.3466, 0.9179)

Properties
**DFT total energy**: -0.2579 Ry/atom
**Space group**: Cmcm (63)

Crystalline FeNiGeS3 at its relaxed geometry, computed with GGA-PBE.

a b c (Å): 6.7652 6.7652 8.5341
angles (deg): 90.00 90.00 150.66
Sites, in units of the cell vectors:
Fe (0.0268, 0.9732, 0.7500)
Fe (0.9732, 0.0268, 0.2500)
Ni (0.5000, 0.5000, 0.0000)
Ni (0.5000, 0.5000, 0.5000)
Ge (0.2735, 0.7265, 0.2500)
Ge (0.7265, 0.2735, 0.7500)
S (0.1385, 0.8615, 0.5594)
S (0.1385, 0.8615, 0.9406)
S (0.4236, 0.5764, 0.7500)
S (0.5764, 0.4236, 0.2500)
S (0.8615, 0.1385, 0.0594)
S (0.8615, 0.1385, 0.4406)

Properties
**DFT total energy**: -0.3878 Ry/atom
**Space group**: Cmcm (63)

Crystalline BaTmAgTe3 at its relaxed geometry, computed with GGA-PBE.

a b c (Å): 10.0947 10.0947 9.2906
angles (deg): 101.79 101.79 25.68
Sites, in units of the cell vectors:
Ba (0.1330, 0.1330, 0.0695)
Ba (0.8670, 0.8670, 0.9305)
Tm (0.1637, 0.1637, 0.5811)
Tm (0.8363, 0.8363, 0.4189)
Ag (0.4696, 0.4696, 0.2916)
Ag (0.5304, 0.5304, 0.7084)
Te (0.0000, 0.0000, 0.5000)
Te (0.3204, 0.3204, 0.1902)
Te (0.3247, 0.3247, 0.6346)
Te (0.5000, 0.5000, 0.0000)
Te (0.6753, 0.6753, 0.3654)
Te (0.6796, 0.6796, 0.8098)

Properties
**DFT total energy**: -0.3156 Ry/atom
**Space group**: C2/m (12)

Crystalline Rb2TcCl6 at its relaxed geometry, computed with GGA-PBE.

a b c (Å): 7.1801 7.1801 7.1801
angles (deg): 120.50 120.50 89.14
Sites, in units of the cell vectors:
Rb (0.2500, 0.7500, 0.5000)
Rb (0.7500, 0.2500, 0.5000)
Tc (0.0000, 0.0000, 0.0000)
Cl (0.2178, 0.7478, 0.9656)
Cl (0.2328, 0.2328, 0.0000)
Cl (0.2522, 0.2178, 0.4700)
Cl (0.7478, 0.7822, 0.5300)
Cl (0.7672, 0.7672, 0.0000)
Cl (0.7822, 0.2522, 0.0344)

Properties
**DFT total energy**: -0.2905 Ry/atom
**Space group**: I4/m (87)

Crystalline Ag15Sb at its relaxed geometry, computed with GGA-PBE.

a b c (Å): 5.0196 35.0975 5.0150
angles (deg): 90.00 109.29 90.00
Sites, in units of the cell vectors:
Ag (0.0000, 0.0211, 0.2500)
Ag (0.0000, 0.0634, 0.7500)
Ag (0.0000, 0.1055, 0.2500)
Ag (0.0000, 0.1482, 0.7500)
Ag (0.0000, 0.1903, 0.2500)
Ag (0.0000, 0.2331, 0.7500)
Ag (0.0000, 0.2769, 0.2500)
Ag (0.0000, 0.7231, 0.7500)
Ag (0.0000, 0.7669, 0.2500)
Ag (0.0000, 0.8097, 0.7500)
Ag (0.0000, 0.8518, 0.2500)
Ag (0.0000, 0.8945, 0.7500)
Ag (0.0000, 0.9366, 0.2500)
Ag (0.0000, 0.9789, 0.7500)
Ag (0.5000, 0.0209, 0.7500)
Ag (0.5000, 0.0636, 0.2500)
Ag (0.5000, 0.1053, 0.7500)
Ag (0.5000, 0.1479, 0.2500)
Ag (0.5000, 0.1903, 0.7500)
Ag (0.5000, 0.2320, 0.2500)
Ag (0.5000, 0.2770, 0.7500)
Ag (0.5000, 0.3181, 0.2500)
Ag (0.5000, 0.6819, 0.7500)
Ag (0.5000, 0.7230, 0.2500)
Ag (0.5000, 0.7680, 0.7500)
Ag (0.5000, 0.8097, 0.2500)
Ag (0.5000, 0.8521, 0.7500)
Ag (0.5000, 0.8947, 0.2500)
Ag (0.5000, 0.9364, 0.7500)
Ag (0.5000, 0.9791, 0.2500)
Sb (0.0000, 0.3190, 0.7500)
Sb (0.0000, 0.6810, 0.2500)

Properties
**DFT total energy**: -0.2107 Ry/atom
**Space group**: P2/c (13)

Crystalline ReSbPO at its relaxed geometry, computed with GGA-PBE.

a b c (Å): 3.8539 3.8539 8.8713
angles (deg): 90.00 90.00 90.00
Sites, in units of the cell vectors:
Re (0.2500, 0.7500, 0.0000)
Re (0.7500, 0.2500, 0.0000)
Sb (0.2500, 0.2500, 0.3622)
Sb (0.7500, 0.7500, 0.6378)
P (0.2500, 0.2500, 0.8367)
P (0.7500, 0.7500, 0.1633)
O (0.2500, 0.7500, 0.5000)
O (0.7500, 0.2500, 0.5000)

Properties
**DFT total energy**: -0.5191 Ry/atom
**Space group**: P4/nmm (129)

Crystalline LiTmPdS3 at its relaxed geometry, computed with GGA-PBE.

a b c (Å): 6.6529 6.6529 9.9926
angles (deg): 90.00 90.00 147.28
Sites, in units of the cell vectors:
Li (0.2156, 0.7844, 0.7500)
Li (0.7844, 0.2156, 0.2500)
Tm (0.0000, 0.0000, 0.0000)
Tm (0.0000, 0.0000, 0.5000)
Pd (0.4930, 0.5070, 0.2500)
Pd (0.5070, 0.4930, 0.7500)
S (0.1070, 0.8930, 0.2500)
S (0.3607, 0.6393, 0.0797)
S (0.3607, 0.6393, 0.4203)
S (0.6393, 0.3607, 0.5797)
S (0.6393, 0.3607, 0.9203)
S (0.8930, 0.1070, 0.7500)

Properties
**DFT total energy**: -0.3744 Ry/atom
**Space group**: Cmcm (63)

| no. | V (Å³/f.u.) |
| --- | --- |
| 1 | 70 |
| 2 | 186 |
| 3 | 53 |
| 4 | 214 |
| 5 | 33 |
| 6 | 66 |
| 7 | 54 |
| 8 | 86 |
| 9 | 104 |
| 10 | 52 |
| 11 | 157 |
| 12 | 64 |
| 13 | 258 |
| 14 | 163 |
| 15 | 96 |
| 16 | 201 |
| 17 | 260 |
| 18 | 417 |
| 19 | 66 |
| 20 | 120 |